Entry 1:
An optimized crystal structure of HfSn2Bi, computed with PBE.

Properties
M_tot (μB per cell): 0.00
Uncorrected energy (hartree per atom): -0.200

Unit cell a=3.8625 b=3.8625 c=6.8553 alpha=90.00 beta=90.00 gamma=90.00
With the nearest neighbours (Å) after each atom.
Positions (direct):
Sn (0.0000, 0.0000, 0.7832)  1 Sn 2.97, 4 Hf 3.11
Sn (0.0000, 0.0000, 0.2168)  1 Sn 2.97, 4 Hf 3.11
Bi (0.5000, 0.5000, 0.5000)  8 Sn 3.35, 2 Hf 3.43
Hf (0.5000, 0.5000, 0.0000)  8 Sn 3.11, 2 Bi 3.43


Entry 2:
An optimized crystal structure of SmDy3Os, computed with PBE.

Properties
M_tot (μB per cell): 0.00
Uncorrected energy (hartree per atom): -0.218

Unit cell a=5.4361 b=5.4361 c=5.4361 alpha=90.00 beta=90.00 gamma=90.00
With the nearest neighbours (Å) after each atom.
Positions (direct):
Dy (0.5000, 0.0000, 0.0000)  2 Os 2.72
Dy (0.0000, 0.0000, 0.5000)  2 Os 2.72
Dy (0.0000, 0.5000, 0.0000)  2 Os 2.72
Sm (0.5000, 0.5000, 0.5000)  12 Dy 3.84
Os (0.0000, 0.0000, 0.0000)  6 Dy 2.72


Entry 3:
An optimized crystal structure of CsAu4, computed with PBE.

Properties
M_tot (μB per cell): 0.00
Uncorrected energy (hartree per atom): -0.048

Unit cell a=5.9366 b=5.9366 c=5.9366 alpha=90.00 beta=90.00 gamma=90.00
With the nearest neighbours (Å) after each atom.
Positions (direct):
Au (0.0000, 0.5000, 0.5000)  2 Cs 2.97
Au (0.5000, 0.0000, 0.5000)  2 Cs 2.97
Au (0.0000, 0.0000, 0.0000)  12 Au 4.20
Au (0.5000, 0.5000, 0.0000)  2 Cs 2.97
Cs (0.5000, 0.5000, 0.5000)  6 Au 2.97